The following is a PBE calculation of a relaxed structure of Pm3Dy3In2, from Alexandria.

energy above the lowest structure with this stoichiometry	10.4	kJ per mole of atoms
uncorrected energy	-139.26	eV for the cell shown
total magnetization	0.00	μB/atom
formation energy	-160.1	meV per atom
DOS at the Fermi energy	33.786	states/eV/cell

Structure (CIF):
```
data_Pm3Dy3In2
_chemical_formula_sum 'Pm12 Dy12 In8'
_cell_length_a 5.214
_cell_length_b 11.948
_cell_length_c 16.077
_cell_angle_alpha 90.00
_cell_angle_beta 90.00
_cell_angle_gamma 90.00
_space_group_name_H-M_alt 'C m c m'
_space_group_IT_number 63
_space_group_name_Hall '-C 2c 2'
loop_
_atom_site_label
_atom_site_type_symbol
_atom_site_fract_x
_atom_site_fract_y
_atom_site_fract_z
Pm1 Pm 0.000 0.040 0.105
Pm2 Pm 0.000 0.263 0.250
Dy1 Dy 0.000 0.360 0.034
Dy2 Dy 0.000 0.457 0.750
In1 In 0.000 0.232 0.637
```

***

The following is a PBE calculation of a relaxed structure of SrCd3S4, from Alexandria.

energy above the lowest structure with this stoichiometry	0.0	kJ per mole of atoms
uncorrected energy	-56.59	eV for the cell shown
total magnetization	0.00	μB/atom
ΔE_f (raw)	-920	meV per atom

Structure (CIF):
```
data_SrCd3S4
_chemical_formula_sum 'Sr2 Cd6 S8'
_cell_length_a 4.231
_cell_length_b 9.740
_cell_length_c 10.485
_cell_angle_alpha 90.00
_cell_angle_beta 90.00
_cell_angle_gamma 90.00
_space_group_name_H-M_alt 'A m m 2'
_space_group_IT_number 38
loop_
_space_group_symop_operation_xyz
'x,y,z'
'-x,-y,z'
'-x,y,z'
'x,-y,z'
'x,y+1/2,z+1/2'
'-x,-y+1/2,z+1/2'
'-x,y+1/2,z+1/2'
'x,-y+1/2,z+1/2'
loop_
_atom_site_label
_atom_site_type_symbol
_atom_site_fract_x
_atom_site_fract_y
_atom_site_fract_z
Sr1 Sr 0.000 0.000 0.000
Cd1 Cd 0.000 0.000 0.374
Cd2 Cd 0.500 0.195 0.659
S1 S 0.000 0.206 0.524
S2 S 0.500 0.000 0.225
S3 S 0.500 0.000 0.815
```

***

The following is a PBE calculation of a relaxed structure of LiNd4Pt2, from Alexandria.

uncorrected energy	-111.64	eV for the cell shown
total magnetization	0.00	μB/atom
formation energy	-592.2	meV per atom
DOS at the Fermi energy	22.951	states/eV/cell

Structure (CIF):
```
data_LiNd4Pt2
_chemical_formula_sum 'Li3 Nd12 Pt6'
_cell_length_a 4.9671
_cell_length_b 4.9671
_cell_length_c 27.2900
_cell_angle_alpha 90.00
_cell_angle_beta 90.00
_cell_angle_gamma 120.00
_space_group_name_H-M_alt 'R -3 m'
_space_group_IT_number 166
_space_group_name_Hall '-R 3 2"'
loop_
_atom_site_label
_atom_site_type_symbol
_atom_site_fract_x
_atom_site_fract_y
_atom_site_fract_z
Li1 Li 0.0000 0.0000 0.0000
Nd1 Nd 0.0000 0.0000 0.2066
Nd2 Nd 0.0000 0.0000 0.3828
Pt1 Pt 0.0000 0.0000 0.0942
```

***

Question: The lowest uncorrected energy belongs to which entry?
Answer: Pm3Dy3In2

***

What did the first record say?
The following is a PBE calculation of a relaxed structure of Pm3Dy3In2, from Alexandria.

energy above the lowest structure with this stoichiometry	10.4	kJ per mole of atoms
uncorrected energy	-139.26	eV for the cell shown
total magnetization	0.00	μB/atom
formation energy	-160.1	meV per atom
DOS at the Fermi energy	33.786	states/eV/cell

Structure (CIF):
```
data_Pm3Dy3In2
_chemical_formula_sum 'Pm12 Dy12 In8'
_cell_length_a 5.214
_cell_length_b 11.948
_cell_length_c 16.077
_cell_angle_alpha 90.00
_cell_angle_beta 90.00
_cell_angle_gamma 90.00
_space_group_name_H-M_alt 'C m c m'
_space_group_IT_number 63
_space_group_name_Hall '-C 2c 2'
loop_
_atom_site_label
_atom_site_type_symbol
_atom_site_fract_x
_atom_site_fract_y
_atom_site_fract_z
Pm1 Pm 0.000 0.040 0.105
Pm2 Pm 0.000 0.263 0.250
Dy1 Dy 0.000 0.360 0.034
Dy2 Dy 0.000 0.457 0.750
In1 In 0.000 0.232 0.637
```

***

Question: Which formula does entry 3 have?
Answer: LiNd4Pt2

***

Question: Among the records above, which one has the lowest uncorrected energy?
Answer: Pm3Dy3In2